Entry from the Alexandria database: crystalline CaLaTa2 at its relaxed geometry (PBE).

```
CaLaTa2
1.0
4.2974 0.0000 0.0000
0.0000 4.2974 0.0000
0.0000 0.0000 5.1580
Ca La Ta
1 1 2
Direct
0.0000 0.0000 0.0000
0.5000 0.5000 0.0000
0.0000 0.5000 0.5000
0.5000 0.0000 0.5000
```

## Properties
electronic total energy = -6.90 eV per atom
spin magnetization = 0.0 μB per formula unit
E above lowest polymorph = 0.426 eV per atom
formation energy = 3.0 eV/f.u.
D(E_F) = 1.3082 states/eV/atom